No. 1
Compound: CeTh5Os4
Source: Alexandria via LeMat-Bulk
Functional: GGA-PBE
Structure: optimized geometry

Calculated values
DFT formation energy = -212 meV/atom
crystal system = orthorhombic
total magnetization = 0.00 μB/atom

Lattice parameters (Å, degrees): 4.1573 7.6860 9.7213 113.31 102.35 90.00
With the nearest neighbours (Å) after each atom.
Element x y z (fractional)
Os 0.9999 0.2478 0.9999  2 Ce 2.82, 4 Th 2.84-2.85
Os 0.0001 0.7522 0.0001  2 Ce 2.82, 4 Th 2.84-2.85
Os 0.2939 0.7939 0.5879  6 Th 2.88-3.00
Os 0.7061 0.2061 0.4121  6 Th 2.88-3.00
Th 0.8360 0.0783 0.6720  4 Os 2.85-3.00
Th 0.8361 0.5939 0.6721  4 Os 2.85-3.00
Th 0.5000 0.5000 0.0000  4 Os 2.84
Th 0.1639 0.4061 0.3279  4 Os 2.85-3.00
Th 0.1640 0.9217 0.3280  4 Os 2.85-3.00
Ce 0.5000 0.0000 0.0000  4 Os 2.82

=====

No. 2
Compound: CeTh5Os6
Source: Alexandria via LeMat-Bulk
Functional: GGA-PBE
Structure: optimized geometry

Calculated values
DFT formation energy = -143 meV/atom
crystal system = monoclinic
total magnetization = 0.00 μB/atom

Lattice parameters (Å, degrees): 5.9318 7.6750 7.8079 60.56 77.69 64.30
With the nearest neighbours (Å) after each atom.
Element x y z (fractional)
Th 0.0000 0.3068 0.3864  6 Os 2.86-3.11
Th 0.5000 0.5000 0.0000  4 Os 2.81
Th 0.0000 0.6932 0.6136  6 Os 2.86-3.11
Th 0.5000 0.8595 0.2809  6 Os 2.78-3.11
Th 0.5000 0.1405 0.7191  6 Os 2.78-3.11
Os 0.9032 0.7109 0.0000  1 Ce 2.52
Os 0.3340 0.5438 0.3472  5 Th 2.78-3.11, 2 Os 3.05
Os 0.6660 0.1091 0.3472  5 Th 2.78-3.11, 2 Os 3.05
Os 0.3340 0.8909 0.6528  5 Th 2.78-3.11, 2 Os 3.05
Os 0.6660 0.4562 0.6528  5 Th 2.78-3.11, 2 Os 3.05
Os 0.0968 0.2891 0.0000  1 Ce 2.52
Ce 0.0000 0.0000 0.0000  2 Os 2.52

=====

No. 3
Compound: Ce12ThOs6
Source: Alexandria via LeMat-Bulk
Functional: GGA-PBE
Structure: optimized geometry

Calculated values
DFT formation energy = -9 meV/atom
crystal system = trigonal
total magnetization = 0.00 μB/atom

Lattice parameters (Å, degrees): 8.1490 8.1490 8.1490 104.81 104.81 104.81
With the nearest neighbours (Å) after each atom.
Element x y z (fractional)
Ce 0.8912 0.5000 0.1088  4 Os 2.79-2.97, 1 Ce 2.81
Ce 0.1088 0.8912 0.5000  4 Os 2.79-2.97, 1 Ce 2.81
Ce 0.1713 0.4254 0.4254  1 Os 2.73
Ce 0.1088 0.5000 0.8912  4 Os 2.79-2.97, 1 Ce 2.81
Ce 0.5000 0.1088 0.8912  4 Os 2.79-2.97, 1 Ce 2.81
Ce 0.4254 0.4254 0.1713  1 Os 2.73
Ce 0.4254 0.1713 0.4254  1 Os 2.73
Ce 0.8912 0.1088 0.5000  4 Os 2.79-2.97, 1 Ce 2.81
Ce 0.8287 0.5746 0.5746  1 Os 2.73
Ce 0.5000 0.8912 0.1088  4 Os 2.79-2.97, 1 Ce 2.81
Ce 0.5746 0.5746 0.8287  1 Os 2.73
Ce 0.5746 0.8287 0.5746  1 Os 2.73
Os 0.7229 0.7229 0.2636  5 Ce 2.73-2.97
Os 0.7229 0.2636 0.7229  5 Ce 2.73-2.97
Os 0.2771 0.2771 0.7364  5 Ce 2.73-2.97
Os 0.2636 0.7229 0.7229  5 Ce 2.73-2.97
Os 0.2771 0.7364 0.2771  5 Ce 2.73-2.97
Os 0.7364 0.2771 0.2771  5 Ce 2.73-2.97
Th 0.0000 0.0000 0.0000  18 Ce 3.86-4.31, 6 Os 4.14

=====

No. 4
Compound: Ce3ThOs
Source: Alexandria via LeMat-Bulk
Functional: GGA-PBE
Structure: optimized geometry

Calculated values
DFT formation energy = 5 meV/atom
crystal system = orthorhombic
total magnetization = 0.00 μB/atom

Lattice parameters (Å, degrees): 5.0805 9.3630 11.4032 90.00 90.00 90.00
With the nearest neighbours (Å) after each atom.
Element x y z (fractional)
Os 0.7500 0.9529 0.3375  3 Ce 2.58-2.77
Os 0.2500 0.0471 0.6625  3 Ce 2.58-2.77
Os 0.7500 0.4529 0.1625  3 Ce 2.58-2.77
Os 0.2500 0.5471 0.8375  3 Ce 2.58-2.77
Th 0.2500 0.1465 0.9793  8 Ce 3.31-3.52
Th 0.2500 0.6465 0.5207  8 Ce 3.31-3.52
Th 0.7500 0.3535 0.4793  8 Ce 3.31-3.52
Th 0.7500 0.8535 0.0207  8 Ce 3.31-3.52
Ce 0.7500 0.1633 0.1908  2 Os 2.58-2.73
Ce 0.2500 0.3367 0.6908  2 Os 2.58-2.73
Ce 0.2500 0.3898 0.2950  2 Os 3.01, 2 Ce 3.04-3.22, 2 Th 3.31
Ce 0.2500 0.8367 0.8092  2 Os 2.58-2.73
Ce 0.7500 0.8936 0.5753  3 Os 2.77-3.08, 1 Ce 3.04
Ce 0.2500 0.6064 0.0753  3 Os 2.77-3.08, 1 Ce 3.04
Ce 0.2500 0.1064 0.4247  3 Os 2.77-3.08, 1 Ce 3.04
Ce 0.7500 0.3936 0.9247  3 Os 2.77-3.08, 1 Ce 3.04
Ce 0.2500 0.8898 0.2050  2 Os 3.01, 2 Ce 3.04-3.22, 2 Th 3.31
Ce 0.7500 0.1102 0.7950  2 Os 3.01, 2 Ce 3.04-3.22, 2 Th 3.31
Ce 0.7500 0.6102 0.7050  2 Os 3.01, 2 Ce 3.04-3.22, 2 Th 3.31
Ce 0.7500 0.6633 0.3092  2 Os 2.58-2.73

=====

| no. | E (eV per atom) |
| --- | --- |
| 1 | -9.01 |
| 2 | -9.34 |
| 3 | -7.69 |
| 4 | -7.29 |